[1]
# BaNi2Br GGA-PBEsol relaxed
data_BaNi2Br
_chemical_formula_sum 'Ba2 Ni4 Br2'
_cell_length_a 3.374
_cell_length_b 5.136
_cell_length_c 9.311
_cell_angle_alpha 90.00
_cell_angle_beta 90.00
_cell_angle_gamma 90.00
_symmetry_space_group_name_H-M 'I m m m'
_symmetry_Int_Tables_number 71
_symmetry_space_group_name_Hall '-I 2 2'
loop_
_atom_site_label
_atom_site_type_symbol
_atom_site_fract_x
_atom_site_fract_y
_atom_site_fract_z
Ba1 Ba 0.000 0.000 0.000
Ni1 Ni 0.000 0.500 0.222
Br1 Br 0.000 0.000 0.500
# size of the total moment	0.0	μB per formula unit
# theoretical density	6.9	g/cm3


[2]
# KNbGaAs2 GGA-PBEsol relaxed
data_KNbGaAs2
_chemical_formula_sum 'K1 Nb1 Ga1 As2'
_cell_length_a 5.004
_cell_length_b 5.004
_cell_length_c 5.097
_cell_angle_alpha 90.00
_cell_angle_beta 90.00
_cell_angle_gamma 90.00
_symmetry_space_group_name_H-M 'P 4/m m m'
_symmetry_Int_Tables_number 123
_symmetry_space_group_name_Hall '-P 4 2'
loop_
_atom_site_label
_atom_site_type_symbol
_atom_site_fract_x
_atom_site_fract_y
_atom_site_fract_z
K1 K 0.000 0.000 0.000
Nb1 Nb 0.500 0.500 0.500
Ga1 Ga 0.500 0.500 0.000
As1 As 0.000 0.500 0.500
# size of the total moment	0.0	μB per formula unit
# energy of formation from the pure elements	-0.14	eV per atom
# theoretical density	4.6	g/cm3


[3]
# K2CdHg GGA-PBEsol relaxed
data_K2CdHg
_chemical_formula_sum 'K4 Cd2 Hg2'
_cell_length_a 5.156
_cell_length_b 5.156
_cell_length_c 9.633
_cell_angle_alpha 90.00
_cell_angle_beta 90.00
_cell_angle_gamma 90.00
_symmetry_space_group_name_H-M 'I -4 m 2'
_symmetry_Int_Tables_number 119
_symmetry_space_group_name_Hall 'I -4 -2'
loop_
_atom_site_label
_atom_site_type_symbol
_atom_site_fract_x
_atom_site_fract_y
_atom_site_fract_z
K1 K 0.000 0.000 0.000
K2 K 0.000 0.500 0.250
Cd1 Cd 0.000 0.000 0.500
Hg1 Hg 0.000 0.500 0.750
# size of the total moment	0.0	μB per formula unit
# energy of formation from the pure elements	-0.04	eV per atom
# theoretical density	5.1	g/cm3


[4]
# Y5Sn3 GGA-PBEsol relaxed
data_Y5Sn3
_chemical_formula_sum 'Y10 Sn6'
_cell_length_a 8.8518
_cell_length_b 8.8518
_cell_length_c 6.4695
_cell_angle_alpha 90.00
_cell_angle_beta 90.00
_cell_angle_gamma 120.00
_symmetry_space_group_name_H-M 'P 63/m c m'
_symmetry_Int_Tables_number 193
_symmetry_space_group_name_Hall '-P 6c 2'
loop_
_atom_site_label
_atom_site_type_symbol
_atom_site_fract_x
_atom_site_fract_y
_atom_site_fract_z
Y1 Y 0.0000 0.2388 0.2500
Y2 Y 0.3333 0.6667 0.0000
Sn1 Sn 0.0000 0.3956 0.7500
# size of the total moment	0.0	μB per formula unit
# energy of formation from the pure elements	-0.82	eV per atom
# theoretical density	6.1	g/cm3


[5]
# ThBC GGA-PBEsol relaxed
data_ThBC
_chemical_formula_sum 'Th8 B8 C8'
_cell_length_a 3.738
_cell_length_b 3.738
_cell_length_c 25.135
_cell_angle_alpha 90.00
_cell_angle_beta 90.00
_cell_angle_gamma 90.00
_symmetry_space_group_name_H-M 'P 41 2 2'
_symmetry_Int_Tables_number 91
_symmetry_space_group_name_Hall 'P 4w 2c'
loop_
_atom_site_label
_atom_site_type_symbol
_atom_site_fract_x
_atom_site_fract_y
_atom_site_fract_z
Th1 Th 0.197 0.299 0.070
B1 B 0.204 0.333 0.228
C1 C 0.195 0.297 0.168
# size of the total moment	0.0	μB per formula unit
# energy of formation from the pure elements	-0.49	eV per atom
# theoretical density	9.6	g/cm3


[6]
# Nb3AgB GGA-PBEsol relaxed
data_Nb3AgB
_chemical_formula_sum 'Nb3 Ag1 B1'
_cell_length_a 4.337
_cell_length_b 4.337
_cell_length_c 4.337
_cell_angle_alpha 90.00
_cell_angle_beta 90.00
_cell_angle_gamma 90.00
_symmetry_space_group_name_H-M 'P m -3 m'
_symmetry_Int_Tables_number 221
_symmetry_space_group_name_Hall '-P 4 2 3'
loop_
_atom_site_label
_atom_site_type_symbol
_atom_site_fract_x
_atom_site_fract_y
_atom_site_fract_z
Nb1 Nb 0.000 0.000 0.500
Ag1 Ag 0.500 0.500 0.500
B1 B 0.000 0.000 0.000
# size of the total moment	0.0	μB per formula unit
# energy of formation from the pure elements	0.13	eV per atom
# theoretical density	8.1	g/cm3


[7]
# Na4MgC6S6N6 GGA-PBEsol relaxed
data_Na4MgC6S6N6
_chemical_formula_sum 'Na8 Mg2 C12 S12 N12'
_cell_length_a 8.5686
_cell_length_b 8.5686
_cell_length_c 13.7544
_cell_angle_alpha 90.00
_cell_angle_beta 90.00
_cell_angle_gamma 120.00
_symmetry_space_group_name_H-M 'P -3 1 c'
_symmetry_Int_Tables_number 163
_symmetry_space_group_name_Hall '-P 3 2c'
loop_
_atom_site_label
_atom_site_type_symbol
_atom_site_fract_x
_atom_site_fract_y
_atom_site_fract_z
Na1 Na 0.0000 0.0000 0.0000
Na2 Na 0.3333 0.6667 0.0248
Na3 Na 0.3333 0.6667 0.7500
Mg1 Mg 0.3333 0.6667 0.2500
C1 C 0.0065 0.3439 0.6355
S1 S 0.1573 0.3531 0.8911
N1 N 0.1302 0.4686 0.1564
# size of the total moment	0.0	μB per formula unit
# theoretical density	1.8	g/cm3


[8]
# MgPb3 GGA-PBEsol relaxed
data_MgPb3
_chemical_formula_sum 'Mg1 Pb3'
_cell_length_a 3.586
_cell_length_b 5.575
_cell_length_c 5.620
_cell_angle_alpha 90.00
_cell_angle_beta 90.00
_cell_angle_gamma 90.00
_symmetry_space_group_name_H-M 'P m m 2'
_symmetry_Int_Tables_number 25
_symmetry_space_group_name_Hall 'P 2 -2'
loop_
_atom_site_label
_atom_site_type_symbol
_atom_site_fract_x
_atom_site_fract_y
_atom_site_fract_z
Mg1 Mg 0.000 0.000 0.000
Pb1 Pb 0.000 0.500 0.368
Pb2 Pb 0.500 0.000 0.507
Pb3 Pb 0.500 0.500 0.876
# size of the total moment	0.0	μB per formula unit
# energy of formation from the pure elements	0.00	eV per atom
# theoretical density	9.5	g/cm3


| no. | density of states at the Fermi level (states/eV per atom) | electronic total energy (eV for the cell shown) |
| --- | --- | --- |
| 1 | 0.34 | -30.36 |
| 2 | 0.55 | -26.19 |
| 3 | 0.77 | -8.36 |
| 4 | 0.60 | -106.91 |
| 5 | 0.42 | -209.80 |
| 6 | 1.32 | -42.13 |
| 7 | 0.00 | -299.93 |
| 8 | 0.50 | -13.70 |